! ZrMn2Os, relaxed, DFT GGA-PBE; values from VASP
! formation energy	-0.4	kJ per mole of atoms
&SYSTEM
  ibrav = 0, nat = 4, ntyp = 3
/
ATOMIC_SPECIES
Os 190.23 Os.upf
Mn 54.94 Mn.upf
Zr 91.22 Zr.upf
ATOMIC_POSITIONS angstrom
Os 2.258 2.210 0.000
Mn 0.000 0.000 0.000
Zr 2.229 -0.020 1.573
Mn 0.029 2.229 1.573
CELL_PARAMETERS angstrom
4.459 -0.040 0.000
0.058 4.459 0.000
-2.258 -2.210 3.147

---

! GePbCl4, relaxed, DFT GGA-PBE; values from VASP
! formation energy (no corrections)	-0.821	eV/atom
&SYSTEM
  ibrav = 0, nat = 6, ntyp = 3
/
ATOMIC_SPECIES
Pb 207.20 Pb.upf
Cl 35.45 Cl.upf
Ge 72.64 Ge.upf
ATOMIC_POSITIONS angstrom
Pb 0.187 -3.962 1.019
Cl 2.140 -0.820 1.648
Cl -1.975 -4.548 -1.991
Cl 5.296 -1.917 -0.239
Ge -0.445 -2.655 -2.810
Cl 1.581 -3.257 -1.351
CELL_PARAMETERS angstrom
-3.592 -5.308 0.195
2.702 -0.003 -5.815
4.411 0.039 4.654

---

What are the ΔE to the lowest computed polymorph values for these records? In order: 2; 128 meV per atom.
What are the density values for these records? In order: 10.39; 3.46 g/cm³.